# KNb2CoO8

A geometry-optimized KNb2CoO8 structure (GGA+U, Alexandria).

Cell lengths 4.623, 5.168, 7.162 Å; angles 76.50, 79.35, 73.59 degrees
Space group P-1 (No. 2)
Symmetry-distinct sites (fractional):
1 K 0.000 0.000 0.000
2 Nb 0.467 0.451 0.226
3 Co 0.000 0.000 0.500
4 O 0.142 0.713 0.707
5 O 0.193 0.732 0.336
6 O 0.372 0.114 0.467
7 O 0.387 0.304 0.014

Summary:
E (eV per cell): -86.986